An optimized crystal structure of NiRhCl2, computed with GGA-PBE.

Summary:
- total magnetization (μB per cell) = 2.94
- E_form (uncorrected) (eV per atom) = 0.51
- final energy (eV per atom) = -3.695
- SG = Fm-3m (225)
- V (Å³/atom) = 15.78
- energy above the lowest structure with this stoichiometry (eV per atom) = 0.660

abc: 4.469 4.469 4.469
angles: 119.96 119.96 90.06
Fractional positions:
Rh  0.750  0.250  0.500
Ni  0.250  0.750  0.500
Cl  0.000  0.000  0.000
Cl  0.500  0.500  0.000